## KLi2Au2 (SCAN)

Data for a crystal of KLi2Au2 relaxed with PBEsol.

- Symmetry: I4/mmm
- DFT total energy: -30.768 eV per atom
- Energy of formation from the pure elements: -483.6 meV/atom
- Calculated volume: 110 Å³/f.u.
- Crystal system: tetragonal
- Density of states at the Fermi level: 1.70 states/eV/f.u.

a = 6.465 Å, b = 6.465 Å, c = 6.465 Å
α = 140.05°, β = 140.05°, γ = 57.78°
Element x y z (fractional)
K1 0.000 0.000 0.000
Li1 0.250 0.750 0.500
Li2 0.750 0.250 0.500
Au1 0.379 0.379 0.000
Au2 0.621 0.621 0.000

---

## KLiPd2Au (SCAN)

Data for a crystal of KLiPd2Au relaxed with PBEsol.

- Symmetry: P4/mmm
- DFT total energy: -28.973 eV per atom
- Energy of formation from the pure elements: 111.6 meV/atom
- Calculated volume: 92 Å³/f.u.
- Crystal system: tetragonal
- Density of states at the Fermi level: 1.26 states/eV/f.u.

a = 4.485 Å, b = 4.485 Å, c = 4.589 Å
α = 90.00°, β = 90.00°, γ = 90.00°
Element x y z (fractional)
K1 0.000 0.000 0.000
Li1 0.500 0.500 0.500
Pd1 0.000 0.500 0.500
Pd2 0.500 0.000 0.500
Au1 0.500 0.500 0.000

---

## K2LiRuAu (SCAN)

Data for a crystal of K2LiRuAu relaxed with PBEsol.

- Symmetry: P4/mmm
- DFT total energy: -23.961 eV per atom
- Energy of formation from the pure elements: 644.8 meV/atom
- Calculated volume: 184 Å³/f.u.
- Crystal system: tetragonal
- Density of states at the Fermi level: 2.31 states/eV/f.u.

a = 6.066 Å, b = 6.066 Å, c = 5.012 Å
α = 90.00°, β = 90.00°, γ = 90.00°
Element x y z (fractional)
K1 0.000 0.500 0.000
K2 0.500 0.000 0.000
Li1 0.000 0.000 0.500
Ru1 0.500 0.500 0.500
Au1 0.500 0.500 0.000

---

## KMg2Au2 (SCAN)

Data for a crystal of KMg2Au2 relaxed with PBEsol.

- Symmetry: I4/mmm
- DFT total energy: -31.861 eV per atom
- Energy of formation from the pure elements: -543.0 meV/atom
- Calculated volume: 119 Å³/f.u.
- Crystal system: tetragonal
- Density of states at the Fermi level: 1.97 states/eV/f.u.

a = 6.678 Å, b = 6.678 Å, c = 6.678 Å
α = 140.55°, β = 140.55°, γ = 57.01°
Element x y z (fractional)
K1 0.000 0.000 0.000
Mg1 0.250 0.750 0.500
Mg2 0.750 0.250 0.500
Au1 0.383 0.383 0.000
Au2 0.617 0.617 0.000

---

## KMg2Au (SCAN)

Data for a crystal of KMg2Au relaxed with PBEsol.

- Symmetry: C2/m
- DFT total energy: -22.103 eV per atom
- Energy of formation from the pure elements: -244.6 meV/atom
- Calculated volume: 104 Å³/f.u.
- Crystal system: monoclinic
- Density of states at the Fermi level: 1.30 states/eV/f.u.

a = 6.543 Å, b = 6.543 Å, c = 5.662 Å
α = 115.07°, β = 115.07°, γ = 28.53°
Element x y z (fractional)
K1 0.000 0.000 0.000
Mg1 0.195 0.195 0.695
Mg2 0.805 0.805 0.305
Au1 0.500 0.500 0.500

---

## K2MgAu (SCAN)

Data for a crystal of K2MgAu relaxed with PBEsol.

- Symmetry: I4/mmm
- DFT total energy: -22.681 eV per atom
- Energy of formation from the pure elements: 15.8 meV/atom
- Calculated volume: 126 Å³/f.u.
- Crystal system: tetragonal
- Density of states at the Fermi level: 1.53 states/eV/f.u.

a = 6.119 Å, b = 6.119 Å, c = 6.119 Å
α = 131.50°, β = 131.50°, γ = 71.02°
Element x y z (fractional)
K1 0.250 0.750 0.500
K2 0.750 0.250 0.500
Mg1 0.000 0.000 0.000
Au1 0.500 0.500 0.000

---

## KMg2Au (SCAN)

Data for a crystal of KMg2Au relaxed with PBEsol.

- Symmetry: I-4m2
- DFT total energy: -21.849 eV per atom
- Energy of formation from the pure elements: 9.1 meV/atom
- Calculated volume: 98 Å³/f.u.
- Crystal system: tetragonal
- Density of states at the Fermi level: 1.77 states/eV/f.u.

a = 5.127 Å, b = 5.127 Å, c = 5.127 Å
α = 117.76°, β = 117.76°, γ = 93.93°
Element x y z (fractional)
K1 0.000 0.000 0.000
Mg1 0.250 0.750 0.500
Mg2 0.500 0.500 0.000
Au1 0.750 0.250 0.500

---

## KMgAu2 (SCAN)

Data for a crystal of KMgAu2 relaxed with PBEsol.

- Symmetry: R-3m
- DFT total energy: -38.426 eV per atom
- Energy of formation from the pure elements: -522.2 meV/atom
- Calculated volume: 110 Å³/f.u.
- Crystal system: trigonal
- Density of states at the Fermi level: 1.03 states/eV/f.u.

a = 6.396 Å, b = 6.396 Å, c = 6.396 Å
α = 42.95°, β = 42.95°, γ = 42.95°
Element x y z (fractional)
K1 0.000 0.000 0.000
Mg1 0.500 0.500 0.500
Au1 0.188 0.188 0.188
Au2 0.812 0.812 0.812

---

## KMgAu2 (SCAN)

Data for a crystal of KMgAu2 relaxed with PBEsol.

- Symmetry: P4/mmm
- DFT total energy: -38.397 eV per atom
- Energy of formation from the pure elements: -492.7 meV/atom
- Calculated volume: 89 Å³/f.u.
- Crystal system: tetragonal
- Density of states at the Fermi level: 1.26 states/eV/f.u.

a = 3.399 Å, b = 3.399 Å, c = 7.731 Å
α = 90.00°, β = 90.00°, γ = 90.00°
Element x y z (fractional)
K1 0.000 0.000 0.000
Mg1 0.000 0.000 0.500
Au1 0.500 0.500 0.313
Au2 0.500 0.500 0.687

---

## KMnAu2 (SCAN)

Data for a crystal of KMnAu2 relaxed with PBEsol.

- Symmetry: Pmm2
- DFT total energy: -41.314 eV per atom
- Energy of formation from the pure elements: -89.6 meV/atom
- Calculated volume: 88 Å³/f.u.
- Crystal system: orthorhombic
- Density of states at the Fermi level: 1.68 states/eV/f.u.

a = 2.907 Å, b = 4.120 Å, c = 7.327 Å
α = 90.00°, β = 90.00°, γ = 90.00°
Element x y z (fractional)
K1 0.000 0.000 0.000
Mn1 0.500 0.500 0.358
Au1 0.000 0.000 0.482
Au2 0.500 0.500 0.711

---

## KMnAu (SCAN)

Data for a crystal of KMnAu relaxed with PBEsol.

- Symmetry: F-43m
- DFT total energy: -31.731 eV per atom
- Energy of formation from the pure elements: 182.2 meV/atom
- Calculated volume: 82 Å³/f.u.
- Crystal system: cubic
- Density of states at the Fermi level: 0.95 states/eV/f.u.

a = 4.873 Å, b = 4.873 Å, c = 4.873 Å
α = 60.00°, β = 60.00°, γ = 60.00°
Element x y z (fractional)
K1 0.000 0.000 0.000
Mn1 0.500 0.500 0.500
Au1 0.250 0.250 0.250

---

## K2MnAu (SCAN)

Data for a crystal of K2MnAu relaxed with PBEsol.

- Symmetry: Fm-3m
- DFT total energy: -25.715 eV per atom
- Energy of formation from the pure elements: 302.4 meV/atom
- Calculated volume: 122 Å³/f.u.
- Crystal system: cubic
- Density of states at the Fermi level: 3.01 states/eV/f.u.

a = 5.563 Å, b = 5.563 Å, c = 5.563 Å
α = 60.00°, β = 60.00°, γ = 60.00°
Element x y z (fractional)
K1 0.250 0.250 0.250
K2 0.750 0.750 0.750
Mn1 0.000 0.000 0.000
Au1 0.500 0.500 0.500

---

## KMnAu4 (SCAN)

Data for a crystal of KMnAu4 relaxed with PBEsol.

- Symmetry: F-43m
- DFT total energy: -50.695 eV per atom
- Energy of formation from the pure elements: -159.8 meV/atom
- Calculated volume: 118 Å³/f.u.
- Crystal system: cubic
- Density of states at the Fermi level: 1.69 states/eV/f.u.

a = 5.507 Å, b = 5.507 Å, c = 5.507 Å
α = 60.00°, β = 60.00°, γ = 60.00°
Element x y z (fractional)
K1 0.000 0.000 0.000
Mn1 0.250 0.250 0.250
Au1 0.126 0.625 0.625
Au2 0.625 0.126 0.625
Au3 0.625 0.625 0.126
Au4 0.625 0.625 0.625

---

## KMnOs2Au (SCAN)

Data for a crystal of KMnOs2Au relaxed with PBEsol.

- Symmetry: P4/mmm
- DFT total energy: -46.522 eV per atom
- Energy of formation from the pure elements: 1378.3 meV/atom
- Calculated volume: 98 Å³/f.u.
- Crystal system: tetragonal
- Density of states at the Fermi level: 4.64 states/eV/f.u.

a = 4.411 Å, b = 4.411 Å, c = 5.044 Å
α = 90.00°, β = 90.00°, γ = 90.00°
Element x y z (fractional)
K1 0.000 0.000 0.000
Mn1 0.500 0.500 0.500
Os1 0.000 0.500 0.500
Os2 0.500 0.000 0.500
Au1 0.500 0.500 0.000

---

## KMnAu2S (SCAN)

Data for a crystal of KMnAu2S relaxed with PBEsol.

- Symmetry: P4/mmm
- DFT total energy: -34.597 eV per atom
- Calculated volume: 126 Å³/f.u.
- Crystal system: tetragonal
- Density of states at the Fermi level: 1.71 states/eV/f.u.
- Raw formation energy: 0.308 eV per atom

a = 4.787 Å, b = 4.787 Å, c = 5.516 Å
α = 90.00°, β = 90.00°, γ = 90.00°
Element x y z (fractional)
K1 0.000 0.000 0.000
Mn1 0.500 0.500 0.000
Au1 0.000 0.500 0.500
Au2 0.500 0.000 0.500
S1 0.000 0.000 0.500

---

## K2MoAu (SCAN)

Data for a crystal of K2MoAu relaxed with PBEsol.

- Symmetry: Immm
- DFT total energy: -29.562 eV per atom
- Energy of formation from the pure elements: 613.1 meV/atom
- Calculated volume: 130 Å³/f.u.
- Crystal system: orthorhombic
- Density of states at the Fermi level: 2.18 states/eV/f.u.

a = 10.225 Å, b = 10.225 Å, c = 10.225 Å
α = 164.05°, β = 153.68°, γ = 30.93°
Element x y z (fractional)
K1 0.146 0.146 0.000
K2 0.854 0.854 0.000
Mo1 0.500 0.000 0.500
Au1 0.000 0.500 0.500

---

## K2MoAu (SCAN)

Data for a crystal of K2MoAu relaxed with PBEsol.

- Symmetry: R-3m
- DFT total energy: -29.248 eV per atom
- Energy of formation from the pure elements: 926.5 meV/atom
- Calculated volume: 86 Å³/f.u.
- Crystal system: trigonal
- Density of states at the Fermi level: 3.27 states/eV/f.u.

a = 11.708 Å, b = 11.708 Å, c = 11.708 Å
α = 14.40°, β = 14.40°, γ = 14.40°
Element x y z (fractional)
K1 0.248 0.248 0.248
K2 0.752 0.752 0.752
Mo1 0.000 0.000 0.000
Au1 0.500 0.500 0.500

---

## KMoAu4 (SCAN)

Data for a crystal of KMoAu4 relaxed with PBEsol.

- Symmetry: F-43m
- DFT total energy: -53.035 eV per atom
- Energy of formation from the pure elements: 272.2 meV/atom
- Calculated volume: 119 Å³/f.u.
- Crystal system: cubic
- Density of states at the Fermi level: 1.63 states/eV/f.u.

a = 5.523 Å, b = 5.523 Å, c = 5.523 Å
α = 60.00°, β = 60.00°, γ = 60.00°
Element x y z (fractional)
K1 0.000 0.000 0.000
Mo1 0.250 0.250 0.250
Au1 0.126 0.625 0.625
Au2 0.625 0.126 0.625
Au3 0.625 0.625 0.126
Au4 0.625 0.625 0.625

---

## KAuSN2 (SCAN)

Data for a crystal of KAuSN2 relaxed with PBEsol.

- Symmetry: P4/mmm
- DFT total energy: -18.890 eV per atom
- Calculated volume: 127 Å³/f.u.
- Crystal system: tetragonal
- Density of states at the Fermi level: 1.79 states/eV/f.u.
- Raw formation energy: 2.250 eV per atom

a = 4.638 Å, b = 4.638 Å, c = 5.900 Å
α = 90.00°, β = 90.00°, γ = 90.00°
Element x y z (fractional)
K1 0.000 0.000 0.000
Au1 0.500 0.500 0.500
S1 0.000 0.000 0.500
N1 0.000 0.500 0.000
N2 0.500 0.000 0.000

---

## K2NaAu (SCAN)

Data for a crystal of K2NaAu relaxed with PBEsol.

- Symmetry: Fm-3m
- DFT total energy: -22.631 eV per atom
- Energy of formation from the pure elements: -123.5 meV/atom
- Calculated volume: 135 Å³/f.u.
- Crystal system: cubic
- Density of states at the Fermi level: 0.78 states/eV/f.u.

a = 5.758 Å, b = 5.758 Å, c = 5.758 Å
α = 60.00°, β = 60.00°, γ = 60.00°
Element x y z (fractional)
K1 0.250 0.250 0.250
K2 0.750 0.750 0.750
Na1 0.000 0.000 0.000
Au1 0.500 0.500 0.500